SrTb2IrO8 after structural relaxation, computed with PBE.

Properties
- Formation energy without anion corrections: -24.775 eV per formula unit
- Space-group type: P2/m (10)

Lattice parameters (Å, degrees): 5.0931 7.0529 5.0999 90.00 90.69 90.00
With the nearest neighbours (Å) after each atom.
Element x y z (fractional)
Sr 0.0000 0.0000 0.0000  6 O 2.34-2.55
Tb 0.5000 0.2471 0.5000  4 O 2.17-2.29
Tb 0.5000 0.7529 0.5000  4 O 2.17-2.29
Ir 0.0000 0.5000 0.0000  6 O 1.90-1.92
O 0.1868 0.3086 0.1857  1 Ir 1.90
O 0.1868 0.6914 0.1857  1 Ir 1.90
O 0.2647 0.5000 0.7348  1 Ir 1.92
O 0.3216 0.0000 0.6770  2 Tb 2.17, 1 Sr 2.34
O 0.6784 0.0000 0.3230  2 Tb 2.17, 1 Sr 2.34
O 0.7353 0.5000 0.2652  1 Ir 1.92
O 0.8132 0.3086 0.8143  1 Ir 1.90
O 0.8132 0.6914 0.8143  1 Ir 1.90

=====

ZnAu3 after structural relaxation, computed with PBE.

Properties
- ΔE_f: -0.360 eV per formula unit
- Space-group type: Pmm2 (25)

Lattice parameters (Å, degrees): 2.9859 4.7384 4.8968 90.00 90.00 90.00
With the nearest neighbours (Å) after each atom.
Element x y z (fractional)
Zn 0.0000 0.0000 0.0000  10 Au 2.85-2.90, 2 Zn 2.99
Au 0.0000 0.5000 0.6570  10 Au 2.83-2.99, 2 Zn 2.90
Au 0.5000 0.0000 0.4956  4 Zn 2.85-2.89, 8 Au 2.91-2.99
Au 0.5000 0.5000 0.1475  8 Au 2.83-2.99, 4 Zn 2.89

=====

SrMn2Fe after structural relaxation, computed with PBE.

Properties
- ΔE_f: 3.362 eV per formula unit
- Space-group type: Imm2 (44)

Lattice parameters (Å, degrees): 5.6500 5.6500 5.6500 146.64 128.16 63.06
With the nearest neighbours (Å) after each atom.
Element x y z (fractional)
Sr 0.0000 0.0000 0.0000  8 Mn 2.97-3.23, 4 Fe 3.08-3.30, 2 Sr 3.24
Mn 0.4664 0.4664 0.0000  2 Fe 2.47
Mn 0.7098 0.2098 0.5000  2 Mn 2.85, 4 Fe 3.02, 2 Sr 3.19
Fe 0.2724 0.7724 0.5000  2 Mn 2.47

=====

LiCd2Ni after structural relaxation, computed with PBE.

Properties
- Relative energy among the computed polymorphs: 1.36 eV per formula unit
- ΔE_f: 0.808 eV per formula unit
- Space-group type: Immm (71)

Lattice parameters (Å, degrees): 7.3959 7.3959 7.3959 158.23 148.06 38.99
With the nearest neighbours (Å) after each atom.
Element x y z (fractional)
Li 0.0000 0.0000 0.0000  4 Ni 2.47
Cd 0.3188 0.3188 0.0000  1 Ni 2.53, 2 Cd 2.79
Cd 0.6812 0.6812 0.0000  1 Ni 2.53, 2 Cd 2.79
Ni 0.5000 0.5000 0.0000  4 Li 2.47, 2 Cd 2.53

=====

NaNbBO5 after structural relaxation, computed with PBE.

Properties
- Formation energy without anion corrections: -16.794 eV per formula unit
- Space-group type: C2/c (15)

Lattice parameters (Å, degrees): 5.3888 5.3888 7.4356 106.30 106.30 102.64
With the nearest neighbours (Å) after each atom.
Element x y z (fractional)
Na 0.1645 0.8355 0.7500  3 O 2.19-2.32
Na 0.8355 0.1645 0.2500  3 O 2.19-2.32
Nb 0.5000 0.5000 0.0000  6 O 1.96-2.03
Nb 0.5000 0.5000 0.5000  6 O 1.96-2.03
B 0.1807 0.8193 0.2500  4 O 1.48
B 0.8193 0.1807 0.7500  4 O 1.48
O 0.1072 0.2545 0.8827  1 B 1.48
O 0.2092 0.6495 0.3759  1 B 1.48
O 0.2545 0.1072 0.3827  1 B 1.48
O 0.3505 0.7908 0.1241  1 B 1.48
O 0.4249 0.5751 0.7500  2 Nb 1.96, 1 Na 2.19
O 0.5751 0.4249 0.2500  2 Nb 1.96, 1 Na 2.19
O 0.6495 0.2092 0.8759  1 B 1.48
O 0.7455 0.8928 0.6173  1 B 1.48
O 0.7908 0.3505 0.6241  1 B 1.48
O 0.8928 0.7455 0.1173  1 B 1.48

=====

Mg2ScInAu after structural relaxation, computed with PBE.

Properties
- ΔE_f: 4.657 eV per formula unit
- Space-group type: P4/mmm (123)

Lattice parameters (Å, degrees): 5.6003 5.6003 5.4869 90.00 90.00 90.00
With the nearest neighbours (Å) after each atom.
Element x y z (fractional)
Mg 0.0000 0.5000 0.0000  2 Sc 2.80
Mg 0.5000 0.0000 0.0000  2 Sc 2.80
Sc 0.0000 0.0000 0.0000  2 In 2.74, 4 Mg 2.80
In 0.0000 0.0000 0.5000  2 Sc 2.74
Au 0.5000 0.5000 0.5000  8 Mg 3.92, 4 In 3.96

=====

AlSbAs after structural relaxation, computed with PBE.

Properties
- Formation energy without anion corrections: -0.128 eV per formula unit
- Space-group type: P2_1 (4)

Lattice parameters (Å, degrees): 4.2360 6.2184 6.3785 90.00 93.33 90.00
With the nearest neighbours (Å) after each atom.
Element x y z (fractional)
Al 0.2424 0.0000 0.3441  3 As 2.50-2.55, 1 Sb 2.71
Al 0.7576 0.5000 0.6559  3 As 2.50-2.55, 1 Sb 2.71
Sb 0.4894 0.6383 0.0073  1 As 2.70, 1 Al 2.71
Sb 0.5106 0.1383 0.9927  1 As 2.70, 1 Al 2.71
As 0.2467 0.2817 0.6227  3 Al 2.50-2.55, 1 Sb 2.70
As 0.7533 0.7817 0.3773  3 Al 2.50-2.55, 1 Sb 2.70

=====

SrCu2SbW after structural relaxation, computed with PBE.

Properties
- Relative energy among the computed polymorphs: 0.45 eV per formula unit
- Formation energy without anion corrections: 6.761 eV per formula unit
- Space-group type: P4/mmm (123)

Lattice parameters (Å, degrees): 4.8811 4.8811 6.3292 90.00 90.00 90.00
With the nearest neighbours (Å) after each atom.
Element x y z (fractional)
Sr 0.0000 0.0000 0.0000  2 Sb 3.16, 4 W 3.45
Cu 0.0000 0.5000 0.5000  2 Sb 2.44
Cu 0.5000 0.0000 0.5000  2 Sb 2.44
Sb 0.0000 0.0000 0.5000  4 Cu 2.44
W 0.5000 0.5000 0.0000  4 Sr 3.45

=====

Li5Pm3Se12 after structural relaxation, computed with PBE.

Properties
- Formation energy without anion corrections: -18.629 eV per formula unit
- Space-group type: Ia-3d (230)

Lattice parameters (Å, degrees): 14.4771 14.4771 14.4771 109.47 109.47 109.47
With the nearest neighbours (Å) after each atom.
Element x y z (fractional)
Li 0.0000 0.0000 0.0000  6 Se 3.32
Li 0.0000 0.0000 0.5000  6 Se 3.32
Li 0.0000 0.5000 0.0000  6 Se 3.32
Li 0.0000 0.5000 0.5000  6 Se 3.32
Li 0.1250 0.7500 0.8750  4 Se 2.55
Li 0.1250 0.8750 0.2500  4 Se 2.55
Li 0.2500 0.1250 0.8750  4 Se 2.55
Li 0.2500 0.6250 0.3750  4 Se 2.55
Li 0.3750 0.2500 0.6250  4 Se 2.55
Li 0.3750 0.6250 0.7500  4 Se 2.55
Li 0.5000 0.0000 0.0000  6 Se 3.32
Li 0.5000 0.0000 0.5000  6 Se 3.32
Li 0.5000 0.5000 0.0000  6 Se 3.32
Li 0.5000 0.5000 0.5000  6 Se 3.32
Li 0.6250 0.3750 0.2500  4 Se 2.55
Li 0.6250 0.7500 0.3750  4 Se 2.55
Li 0.7500 0.3750 0.6250  4 Se 2.55
Li 0.7500 0.8750 0.1250  4 Se 2.55
Li 0.8750 0.1250 0.7500  4 Se 2.55
Li 0.8750 0.2500 0.1250  4 Se 2.55
Pm 0.1250 0.2500 0.3750  8 Se 2.91-3.07
Pm 0.1250 0.3750 0.7500  8 Se 2.91-3.07
Pm 0.2500 0.3750 0.1250  8 Se 2.91-3.07
Pm 0.2500 0.8750 0.6250  8 Se 2.91-3.07
Pm 0.3750 0.1250 0.2500  8 Se 2.91-3.07
Pm 0.3750 0.7500 0.1250  8 Se 2.91-3.07
Pm 0.6250 0.2500 0.8750  8 Se 2.91-3.07
Pm 0.6250 0.8750 0.7500  8 Se 2.91-3.07
Pm 0.7500 0.1250 0.3750  8 Se 2.91-3.07
Pm 0.7500 0.6250 0.8750  8 Se 2.91-3.07
Pm 0.8750 0.6250 0.2500  8 Se 2.91-3.07
Pm 0.8750 0.7500 0.6250  8 Se 2.91-3.07
Se 0.0646 0.2632 0.1572  1 Li 2.55, 1 Se 2.56
Se 0.0646 0.3014 0.9074  1 Li 2.55, 1 Se 2.56
Se 0.0926 0.6572 0.3940  1 Li 2.55, 1 Se 2.56
Se 0.0926 0.9354 0.6986  1 Li 2.55, 1 Se 2.56
Se 0.1060 0.7632 0.6986  1 Li 2.55, 1 Se 2.56
Se 0.1060 0.8428 0.4074  1 Li 2.55, 1 Se 2.56
Se 0.1572 0.0646 0.2632  1 Li 2.55, 1 Se 2.56
Se 0.1572 0.5926 0.8940  1 Li 2.55, 1 Se 2.56
Se 0.1986 0.2632 0.6060  1 Li 2.55, 1 Se 2.56
Se 0.1986 0.4354 0.5926  1 Li 2.55, 1 Se 2.56
Se 0.2368 0.3014 0.8940  1 Li 2.55, 1 Se 2.56
Se 0.2368 0.4354 0.3428  1 Li 2.55, 1 Se 2.56
Se 0.2632 0.1572 0.0646  1 Li 2.55, 1 Se 2.56
Se 0.2632 0.6060 0.1986  1 Li 2.55, 1 Se 2.56
Se 0.3014 0.8940 0.2368  1 Li 2.55, 1 Se 2.56
Se 0.3014 0.9074 0.0646  1 Li 2.55, 1 Se 2.56
Se 0.3428 0.2368 0.4354  1 Li 2.55, 1 Se 2.56
Se 0.3428 0.6060 0.9074  1 Li 2.55, 1 Se 2.56
Se 0.3940 0.0926 0.6572  1 Li 2.55, 1 Se 2.56
Se 0.3940 0.8014 0.7368  1 Li 2.55, 1 Se 2.56
Se 0.4074 0.1060 0.8428  1 Li 2.55, 1 Se 2.56
Se 0.4074 0.8014 0.5646  1 Li 2.55, 1 Se 2.56
Se 0.4354 0.3428 0.2368  1 Li 2.55, 1 Se 2.56
Se 0.4354 0.5926 0.1986  1 Li 2.55, 1 Se 2.56
Se 0.5646 0.4074 0.8014  1 Li 2.55, 1 Se 2.56
Se 0.5646 0.6572 0.7632  1 Li 2.55, 1 Se 2.56
Se 0.5926 0.1986 0.4354  1 Li 2.55, 1 Se 2.56
Se 0.5926 0.8940 0.1572  1 Li 2.55, 1 Se 2.56
Se 0.6060 0.1986 0.2632  1 Li 2.55, 1 Se 2.56
Se 0.6060 0.9074 0.3428  1 Li 2.55, 1 Se 2.56
Se 0.6572 0.3940 0.0926  1 Li 2.55, 1 Se 2.56
Se 0.6572 0.7632 0.5646  1 Li 2.55, 1 Se 2.56
Se 0.6986 0.0926 0.9354  1 Li 2.55, 1 Se 2.56
Se 0.6986 0.1060 0.7632  1 Li 2.55, 1 Se 2.56
Se 0.7368 0.3940 0.8014  1 Li 2.55, 1 Se 2.56
Se 0.7368 0.8428 0.9354  1 Li 2.55, 1 Se 2.56
Se 0.7632 0.5646 0.6572  1 Li 2.55, 1 Se 2.56
Se 0.7632 0.6986 0.1060  1 Li 2.55, 1 Se 2.56
Se 0.8014 0.5646 0.4074  1 Li 2.55, 1 Se 2.56
Se 0.8014 0.7368 0.3940  1 Li 2.55, 1 Se 2.56
Se 0.8428 0.4074 0.1060  1 Li 2.55, 1 Se 2.56
Se 0.8428 0.9354 0.7368  1 Li 2.55, 1 Se 2.56
Se 0.8940 0.1572 0.5926  1 Li 2.55, 1 Se 2.56
Se 0.8940 0.2368 0.3014  1 Li 2.55, 1 Se 2.56
Se 0.9074 0.0646 0.3014  1 Li 2.55, 1 Se 2.56
Se 0.9074 0.3428 0.6060  1 Li 2.55, 1 Se 2.56
Se 0.9354 0.6986 0.0926  1 Li 2.55, 1 Se 2.56
Se 0.9354 0.7368 0.8428  1 Li 2.55, 1 Se 2.56

=====

AsH2Se after structural relaxation, computed with PBE.

Properties
- Relative energy among the computed polymorphs: 3.28 eV per formula unit
- Space-group type: Fm-3m (225)

Lattice parameters (Å, degrees): 3.9894 3.9894 3.9894 60.00 60.00 60.00
With the nearest neighbours (Å) after each atom.
Element x y z (fractional)
As 0.0000 0.0000 0.0000  8 H 2.44
H 0.2500 0.2500 0.2500  4 As 2.44, 4 Se 2.44
H 0.7500 0.7500 0.7500  4 Se 2.44, 4 As 2.44
Se 0.5000 0.5000 0.5000  8 H 2.44

=====

La2SiTePt6 after structural relaxation, computed with PBE.

Properties
- Formation energy without anion corrections: -5.486 eV per formula unit
- Space-group type: Fm-3m (225)

Lattice parameters (Å, degrees): 6.8509 6.8509 6.8509 60.00 60.00 60.00
With the nearest neighbours (Å) after each atom.
Element x y z (fractional)
La 0.2500 0.2500 0.2500  12 Pt 3.43
La 0.7500 0.7500 0.7500  12 Pt 3.43
Si 0.0000 0.0000 0.0000  6 Pt 2.29
Te 0.5000 0.5000 0.5000  6 Pt 2.56
Pt 0.2359 0.2359 0.7641  1 Si 2.29, 1 Te 2.56
Pt 0.2359 0.7641 0.2359  1 Si 2.29, 1 Te 2.56
Pt 0.2359 0.7641 0.7641  1 Si 2.29, 1 Te 2.56
Pt 0.7641 0.2359 0.2359  1 Si 2.29, 1 Te 2.56
Pt 0.7641 0.2359 0.7641  1 Si 2.29, 1 Te 2.56
Pt 0.7641 0.7641 0.2359  1 Si 2.29, 1 Te 2.56

=====

HgAsPb2 after structural relaxation, computed with PBE.

Properties
- Relative energy among the computed polymorphs: 0.08 eV per formula unit
- ΔE_f: 0.064 eV per formula unit
- Space-group type: R3m (160)

Lattice parameters (Å, degrees): 8.3559 8.3559 8.3559 28.89 28.89 28.89
With the nearest neighbours (Å) after each atom.
Element x y z (fractional)
Hg 0.0000 0.0000 0.0000  6 Pb 3.28-3.33
As 0.1684 0.1684 0.1684  6 Pb 2.96-2.97
Pb 0.5738 0.5738 0.5738  3 As 2.96, 3 Hg 3.28
Pb 0.7625 0.7625 0.7625  3 As 2.97